PBE PrLuCd4, optimized geometry; density of states at the Fermi level = 3.85 states/eV/cell; formation enthalpy at 0 K = -0.24 eV/atom
1.0
5.945 0.000 0.000
2.973 5.149 0.000
2.973 1.716 4.854
Pr Lu Cd
1 1 4
Cartesian
2.973 1.716 1.214
0.000 0.000 0.000
5.945 3.432 0.606
5.945 1.716 3.034
7.432 4.291 3.034
4.458 4.291 3.034